The following is a GGA-PBEsol calculation of crystalline Ba2ZrIn at its relaxed geometry, from Alexandria.

Summary:
ΔE_f   0.222 eV per atom
VASP energy   -3.8706 eV per atom
DOS at the Fermi energy   0.9561 states/eV/atom

Structure (POSCAR):
```
Ba2ZrIn
1.0
3.710 0.000 0.000
-1.855 3.213 0.000
0.000 0.000 34.491
Ba Zr In
6 3 3
Cartesian
0.000 0.000 0.000
0.000 0.000 7.713
0.000 2.142 22.994
0.000 2.142 30.707
1.855 1.071 11.497
1.855 1.071 19.210
0.000 0.000 16.377
0.000 2.142 4.880
1.855 1.071 27.874
0.000 0.000 25.725
0.000 2.142 14.228
1.855 1.071 2.731
```